Computed, not measured: crystalline KFeNF2 at its relaxed geometry at the GGA+U level of DFT.

Its mass density is 3.49 g/cm³. The uncorrected energy comes out at -4.971 eV per atom.

It has space group P4/mmm (No. 123), with a = 4.292 Å, b = 4.292 Å, c = 3.796 Å, α = 90.00°, β = 90.00° and γ = 90.00°. The asymmetric unit holds K at (0.000, 0.000, 0.000), Fe at (0.500, 0.500, 0.500), N at (0.500, 0.500, 0.000) and F at (0.000, 0.500, 0.500).